[1]
DFT (PBE) results for crystalline BaMg4InAg2 at its relaxed geometry.

a = 4.7621 Å, b = 4.7621 Å, c = 32.0440 Å
α = 90.00°, β = 90.00°, γ = 120.00°
Space group R-3m (No. 166, hexagonal axes)
Inequivalent atoms, fractional coordinates:
Ba  0.0000  0.0000  0.0000
Mg  0.0000  0.0000  0.1274
Mg  0.0000  0.0000  0.4081
In  0.0000  0.0000  0.5000
Ag  0.0000  0.0000  0.2403

Energy of formation from the pure elements: -0.116 eV/atom
Calculated total energy: -53.0 eV/cell
Fermi-level density of states: 11.232 states/eV/cell

[2]
DFT (PBE) results for crystalline BaMg2In2Ag2 at its relaxed geometry.

a = 4.7716 Å, b = 4.7716 Å, c = 28.1875 Å
α = 90.00°, β = 90.00°, γ = 120.00°
Space group R-3m (No. 166, hexagonal axes)
Inequivalent atoms, fractional coordinates:
Ba  0.0000  0.0000  0.0000
Mg  0.0000  0.0000  0.1404
In  0.0000  0.0000  0.2508
Ag  0.0000  0.0000  0.4474

Energy of formation from the pure elements: -0.255 eV/atom
Calculated total energy: -54.2 eV/cell
Fermi-level density of states: 9.181 states/eV/cell

[3]
DFT (PBE) results for crystalline BaMgIn4Ag2 at its relaxed geometry.

a = 4.8752 Å, b = 4.8752 Å, c = 31.3561 Å
α = 90.00°, β = 90.00°, γ = 120.00°
Space group R-3m (No. 166, hexagonal axes)
Inequivalent atoms, fractional coordinates:
Ba  0.0000  0.0000  0.0000
Mg  0.0000  0.0000  0.5000
In  0.0000  0.0000  0.1244
In  0.0000  0.0000  0.4030
Ag  0.0000  0.0000  0.2262

Energy of formation from the pure elements: -0.182 eV/atom
Calculated total energy: -64.9 eV/cell
Fermi-level density of states: 10.898 states/eV/cell

[4]
DFT (PBE) results for crystalline BaMgIn2Ag2 at its relaxed geometry.

a = 4.8204 Å, b = 4.8204 Å, c = 8.0794 Å
α = 90.00°, β = 90.00°, γ = 120.00°
Space group P-3m1 (No. 164)
Inequivalent atoms, fractional coordinates:
Ba  0.0000  0.0000  0.0000
Mg  0.0000  0.0000  0.5000
In  0.3333  0.6667  0.2907
Ag  0.3333  0.6667  0.6573

Energy of formation from the pure elements: -0.275 eV/atom
Calculated total energy: -16.3 eV/cell
Fermi-level density of states: 4.033 states/eV/cell